[1]
A plane-wave DFT calculation with SCAN was carried out for a crystal of CoNiRh2 relaxed with PBEsol.

Cell lengths 4.397, 4.397, 2.609 Å; angles 90.00, 90.00, 107.28 degrees
Sites, in units of the cell vectors:
Co (0.000, 0.000, 0.000)
Ni (0.500, 0.500, 0.000)
Rh (0.000, 0.500, 0.500)
Rh (0.500, 0.000, 0.500)

Output
symmetry: Cmmm
E_form: 0.0419 eV per atom



[2]
A plane-wave DFT calculation with SCAN was carried out for a crystal of RbTl2Hg relaxed with PBEsol.

Cell lengths 5.522, 5.522, 5.522 Å; angles 60.00, 60.00, 60.00 degrees
Sites, in units of the cell vectors:
Rb (0.000, 0.000, 0.000)
Tl (0.250, 0.250, 0.250)
Tl (0.750, 0.750, 0.750)
Hg (0.500, 0.500, 0.500)

Output
symmetry: Fm-3m
E_form: -0.0508 eV per atom



[3]
A plane-wave DFT calculation with SCAN was carried out for a crystal of MnAgAu2 relaxed with PBEsol.

Cell lengths 2.843, 4.665, 4.866 Å; angles 90.00, 90.00, 90.00 degrees
Sites, in units of the cell vectors:
Mn (0.000, 0.000, 0.000)
Ag (0.000, 0.500, 0.660)
Au (0.500, 0.000, 0.499)
Au (0.500, 0.500, 0.152)

Output
symmetry: Pmm2
E_form: -0.2351 eV per atom



[4]
A plane-wave DFT calculation with SCAN was carried out for a crystal of CuPt2Rh relaxed with PBEsol.

Cell lengths 8.903, 8.903, 8.903 Å; angles 17.47, 17.47, 17.47 degrees
Sites, in units of the cell vectors:
Cu (0.000, 0.000, 0.000)
Pt (0.503, 0.503, 0.503)
Pt (0.747, 0.747, 0.747)
Rh (0.255, 0.255, 0.255)

Output
symmetry: R3m
E_form: -0.0160 eV per atom



[5]
A plane-wave DFT calculation with SCAN was carried out for a crystal of ScCuP2 relaxed with PBEsol.

Cell lengths 3.704, 3.704, 5.934 Å; angles 90.00, 90.00, 120.00 degrees
Sites, in units of the cell vectors:
Sc (0.000, 0.000, 0.000)
Cu (0.667, 0.333, 0.628)
P (0.333, 0.667, 0.736)
P (0.667, 0.333, 0.257)

Output
symmetry: P3m1
E_form: -0.5159 eV per atom



[6]
A plane-wave DFT calculation with SCAN was carried out for a crystal of MoPtRh2 relaxed with PBEsol.

Cell lengths 4.679, 4.679, 4.679 Å; angles 131.25, 131.25, 71.42 degrees
Sites, in units of the cell vectors:
Mo (0.000, 0.000, 0.000)
Pt (0.500, 0.500, 0.000)
Rh (0.250, 0.750, 0.500)
Rh (0.750, 0.250, 0.500)

Output
symmetry: I4/mmm
E_form: -0.2652 eV per atom



[7]
A plane-wave DFT calculation with SCAN was carried out for a crystal of ScMn2Pd2 relaxed with PBEsol.

Cell lengths 7.437, 7.437, 7.437 Å; angles 155.13, 155.13, 35.45 degrees
Sites, in units of the cell vectors:
Sc (0.000, 0.000, 0.000)
Mn (0.250, 0.750, 0.500)
Mn (0.750, 0.250, 0.500)
Pd (0.398, 0.398, 0.000)
Pd (0.602, 0.602, 0.000)

Output
symmetry: I4/mmm
E_form: 0.0019 eV per atom



[8]
A plane-wave DFT calculation with SCAN was carried out for a crystal of Dy2AlGe2 relaxed with PBEsol.

Cell lengths 6.888, 6.888, 4.278 Å; angles 90.00, 90.00, 90.00 degrees
Sites, in units of the cell vectors:
Dy (0.176, 0.324, 0.000)
Dy (0.324, 0.824, 0.000)
Dy (0.676, 0.176, 0.000)
Dy (0.824, 0.676, 0.000)
Al (0.000, 0.000, 0.500)
Al (0.500, 0.500, 0.500)
Ge (0.129, 0.629, 0.500)
Ge (0.371, 0.129, 0.500)
Ge (0.629, 0.871, 0.500)
Ge (0.871, 0.371, 0.500)

Output
symmetry: P4/mbm
E_form: -0.8060 eV per atom



[9]
A plane-wave DFT calculation with SCAN was carried out for a crystal of NaSb2Se2 relaxed with PBEsol.

Cell lengths 8.024, 8.024, 8.024 Å; angles 149.26, 149.26, 44.03 degrees
Sites, in units of the cell vectors:
Na (0.000, 0.000, 0.000)
Sb (0.250, 0.750, 0.500)
Sb (0.750, 0.250, 0.500)
Se (0.416, 0.416, 0.000)
Se (0.584, 0.584, 0.000)

Output
symmetry: I4/mmm
formation energy without anion corrections: -0.1828 eV per atom



[10]
A plane-wave DFT calculation with SCAN was carried out for a crystal of CsNd2CuSe4 relaxed with PBEsol.

Cell lengths 7.669, 7.669, 14.479 Å; angles 90.00, 90.00, 148.28 degrees
Sites, in units of the cell vectors:
Cs (0.106, 0.894, 0.750)
Cs (0.894, 0.106, 0.250)
Nd (0.365, 0.635, 0.561)
Nd (0.365, 0.635, 0.939)
Nd (0.635, 0.365, 0.061)
Nd (0.635, 0.365, 0.439)
Cu (0.164, 0.836, 0.250)
Cu (0.836, 0.164, 0.750)
Se (0.000, 0.000, 0.000)
Se (0.000, 0.000, 0.500)
Se (0.260, 0.740, 0.112)
Se (0.260, 0.740, 0.388)
Se (0.424, 0.576, 0.750)
Se (0.576, 0.424, 0.250)
Se (0.740, 0.260, 0.612)
Se (0.740, 0.260, 0.888)

Output
symmetry: Cmcm
formation energy without anion corrections: -1.7140 eV per atom



[11]
A plane-wave DFT calculation with SCAN was carried out for a crystal of KY4Mo relaxed with PBEsol.

Cell lengths 6.402, 6.402, 6.402 Å; angles 60.00, 60.00, 60.00 degrees
Sites, in units of the cell vectors:
K (0.000, 0.000, 0.000)
Y (0.136, 0.621, 0.621)
Y (0.621, 0.136, 0.621)
Y (0.621, 0.621, 0.136)
Y (0.621, 0.621, 0.621)
Mo (0.250, 0.250, 0.250)

Output
symmetry: F-43m
E_form: 1.0179 eV per atom



[12]
A plane-wave DFT calculation with SCAN was carried out for a crystal of P2OsW relaxed with PBEsol.

Cell lengths 7.579, 7.579, 7.579 Å; angles 22.45, 22.45, 22.45 degrees
Sites, in units of the cell vectors:
P (0.000, 0.000, 0.000)
P (0.252, 0.252, 0.252)
Os (0.512, 0.512, 0.512)
W (0.744, 0.744, 0.744)

Output
symmetry: R3m
E_form: 0.0943 eV per atom



[13]
A plane-wave DFT calculation with SCAN was carried out for a crystal of Y2OsW relaxed with PBEsol.

Cell lengths 9.550, 9.550, 9.550 Å; angles 18.80, 18.80, 18.80 degrees
Sites, in units of the cell vectors:
Y (0.245, 0.245, 0.245)
Y (0.755, 0.755, 0.755)
Os (0.500, 0.500, 0.500)
W (0.000, 0.000, 0.000)

Output
symmetry: R-3m
E_form: 0.6526 eV per atom



[14]
A plane-wave DFT calculation with SCAN was carried out for a crystal of CaInPb2 relaxed with PBEsol.

Cell lengths 5.959, 5.959, 5.959 Å; angles 133.31, 133.31, 68.17 degrees
Sites, in units of the cell vectors:
Ca (0.000, 0.000, 0.000)
In (0.500, 0.500, 0.000)
Pb (0.250, 0.750, 0.500)
Pb (0.750, 0.250, 0.500)

Output
symmetry: I4/mmm
E_form: -0.4006 eV per atom



[15]
A plane-wave DFT calculation with SCAN was carried out for a crystal of CsCoPO2 relaxed with PBEsol.

Cell lengths 3.999, 3.999, 4.479 Å; angles 90.00, 90.00, 90.00 degrees
Sites, in units of the cell vectors:
Cs (0.000, 0.000, 0.000)
Co (0.500, 0.500, 0.500)
P (0.500, 0.500, 0.000)
O (0.000, 0.500, 0.500)
O (0.500, 0.000, 0.500)

Output
symmetry: P4/mmm
formation energy without anion corrections: -0.0318 eV per atom



[16]
A plane-wave DFT calculation with SCAN was carried out for a crystal of TaCrCo2 relaxed with PBEsol.

Cell lengths 8.399, 8.399, 8.399 Å; angles 18.03, 18.03, 18.03 degrees
Sites, in units of the cell vectors:
Ta (0.000, 0.000, 0.000)
Cr (0.500, 0.500, 0.500)
Co (0.242, 0.242, 0.242)
Co (0.758, 0.758, 0.758)

Output
symmetry: R-3m
E_form: 0.3749 eV per atom



[17]
A plane-wave DFT calculation with SCAN was carried out for a crystal of ScCrHg relaxed with PBEsol.

Cell lengths 4.530, 4.530, 4.530 Å; angles 60.00, 60.00, 60.00 degrees
Sites, in units of the cell vectors:
Sc (0.000, 0.000, 0.000)
Cr (0.750, 0.750, 0.750)
Hg (0.250, 0.250, 0.250)

Output
symmetry: F-43m
E_form: 0.3165 eV per atom



[18]
A plane-wave DFT calculation with SCAN was carried out for a crystal of CaSeBr2 relaxed with PBEsol.

Cell lengths 7.263, 7.263, 7.263 Å; angles 99.78, 99.78, 131.32 degrees
Sites, in units of the cell vectors:
Ca (0.000, 0.000, 0.000)
Ca (0.750, 0.250, 0.500)
Se (0.250, 0.750, 0.500)
Se (0.500, 0.500, 0.000)
Br (0.021, 0.625, 0.896)
Br (0.375, 0.271, 0.396)
Br (0.729, 0.125, 0.104)
Br (0.875, 0.979, 0.604)

Output
symmetry: I-42d
formation energy without anion corrections: -1.0731 eV per atom



[19]
A plane-wave DFT calculation with SCAN was carried out for a crystal of TaNiMo relaxed with PBEsol.

Cell lengths 4.189, 4.189, 4.189 Å; angles 60.00, 60.00, 60.00 degrees
Sites, in units of the cell vectors:
Ta (0.000, 0.000, 0.000)
Ni (0.500, 0.500, 0.500)
Mo (0.250, 0.250, 0.250)

Output
symmetry: F-43m
E_form: 1.0482 eV per atom



[20]
A plane-wave DFT calculation with SCAN was carried out for a crystal of Er2Mn2O7 relaxed with PBEsol.

Cell lengths 6.927, 6.927, 6.927 Å; angles 60.00, 60.00, 60.00 degrees
Sites, in units of the cell vectors:
Er (0.000, 0.000, 0.000)
Er (0.000, 0.000, 0.500)
Er (0.000, 0.500, 0.000)
Er (0.500, 0.000, 0.000)
Mn (0.000, 0.500, 0.500)
Mn (0.500, 0.000, 0.500)
Mn (0.500, 0.500, 0.000)
Mn (0.500, 0.500, 0.500)
O (0.125, 0.125, 0.125)
O (0.170, 0.170, 0.580)
O (0.170, 0.580, 0.170)
O (0.170, 0.580, 0.580)
O (0.420, 0.420, 0.830)
O (0.420, 0.830, 0.420)
O (0.420, 0.830, 0.830)
O (0.580, 0.170, 0.170)
O (0.580, 0.170, 0.580)
O (0.580, 0.580, 0.170)
O (0.830, 0.420, 0.420)
O (0.830, 0.420, 0.830)
O (0.830, 0.830, 0.420)
O (0.875, 0.875, 0.875)

Output
symmetry: Fd-3m
formation energy without anion corrections: -3.0685 eV per atom